1.
Density functional theory data (PBE) for PmZn3Ir2 after structural relaxation.

Results
Polymorph energy (0 for the lowest one): 0.303 eV per atom
Magnetization: 0.00 μB per cell
ΔH_f (0 K): -66 kJ/mol of formula units

Cell: 4.627 13.981 3.117 Å, 90.00 90.00 90.00°
Space group Cmmm (No. 65)
Inequivalent atoms, fractional coordinates:
Pm: 0.000 0.000 0.000
Zn: 0.000 0.196 0.500
Zn: 0.000 0.500 0.500
Ir: 0.000 0.350 0.000


2.
Density functional theory data (PBE) for Pm3Zn3Ir2 after structural relaxation.

Results
Polymorph energy (0 for the lowest one): 0.006 eV per atom
Magnetization: 0.00 μB per cell
ΔH_f (0 K): -413 kJ/mol of formula units

Cell: 4.163 10.455 15.993 Å, 90.00 90.00 90.00°
Space group Cmcm (No. 63)
Inequivalent atoms, fractional coordinates:
Pm: 0.000 0.073 0.104
Pm: 0.000 0.348 0.250
Zn: 0.000 0.357 0.033
Zn: 0.000 0.360 0.750
Ir: 0.000 0.220 0.615


3.
Density functional theory data (PBE) for Pm4Zn3Ir after structural relaxation.

Results
Polymorph energy (0 for the lowest one): 0.000 eV per atom
Magnetization: 0.00 μB per cell
ΔH_f (0 K): -314 kJ/mol of formula units

Cell: 3.939 4.560 11.023 Å, 90.00 90.00 90.00°
Space group Pmm2 (No. 25)
Inequivalent atoms, fractional coordinates:
Pm: 0.000 0.000 0.000
Pm: 0.000 0.500 0.267
Pm: 0.500 0.000 0.468
Pm: 0.500 0.500 0.776
Zn: 0.000 0.000 0.695
Zn: 0.000 0.500 0.555
Zn: 0.500 0.500 0.057
Ir: 0.500 0.000 0.199


4.
Density functional theory data (PBE) for Pm5ZnIr4 after structural relaxation.

Results
Magnetization: 0.00 μB per cell
ΔH_f (0 K): -540 kJ/mol of formula units

Cell: 3.580 3.580 17.565 Å, 90.00 90.00 90.00°
Space group P4/mmm (No. 123)
Inequivalent atoms, fractional coordinates:
Pm: 0.000 0.000 0.000
Pm: 0.000 0.000 0.195
Pm: 0.000 0.000 0.389
Zn: 0.500 0.500 0.500
Ir: 0.500 0.500 0.099
Ir: 0.500 0.500 0.297


5.
Density functional theory data (PBE) for Pm2Zn16Ir after structural relaxation.

Results
Magnetization: 0.00 μB per cell
ΔH_f (0 K): -492 kJ/mol of formula units

Cell: 9.0149 9.0149 13.2368 Å, 90.00 90.00 120.00°
Space group R3m (No. 160, hexagonal axes)
Inequivalent atoms, fractional coordinates:
Pm: 0.0000 0.0000 0.0000
Pm: 0.0000 0.0000 0.3303
Zn: 0.0000 0.0000 0.7613
Zn: 0.9999 0.2866 0.6588
Zn: 0.0021 0.5010 0.8125
Zn: 0.0071 0.5035 0.1593
Zn: 0.1713 0.3427 0.8429
Ir: 0.0000 0.0000 0.5613


6.
Density functional theory data (PBE) for PmZn3Ir after structural relaxation.

Results
Polymorph energy (0 for the lowest one): 0.170 eV per atom
Magnetization: 0.00 μB per cell
ΔH_f (0 K): -81 kJ/mol of formula units

Cell: 4.766 4.766 4.766 Å, 90.00 90.00 90.00°
Space group Pm-3m (No. 221)
Inequivalent atoms, fractional coordinates:
Pm: 0.000 0.000 0.000
Zn: 0.000 0.500 0.500
Ir: 0.500 0.500 0.500